Compound: FeTeRu2
Source: Alexandria via LeMat-Bulk
Functional: PBE-GGA
Structure: relaxed

Properties
Raw formation energy, eV/atom: 0.3246
Space group: Cm, No. 8
Total DFT energy (no corrections), eV per cell: -28.86

a b c (Å): 4.8701 4.8701 4.4804
angles (deg): 75.77 75.77 37.73
Last column: nearest neighbours and their distance in Å.
Atoms (fractional coordinates):
Ru 0.2412 0.2412 0.3056  3 Te 2.64-2.66, 4 Fe 2.69-2.79
Ru 0.0124 0.0124 0.9261  3 Fe 2.61-2.63, 4 Te 2.67-2.81
Fe 0.7458 0.7458 0.8171  7 Ru 2.61-2.79
Te 0.5006 0.5006 0.4512  7 Ru 2.64-2.81, 2 Fe 2.95